(1)
Below is a relaxed CrCI2F crystal, with properties calculated at the PBE with a Hubbard U level.

## Properties
For the magnetization, the calculation gives 0.04 μB/cell.

Lattice parameters (Å, degrees): 5.643 5.643 3.609 90.00 90.00 90.00
Atoms (fractional coordinates):
1 Cr 0.000 0.000 0.000
2 C 0.500 0.500 0.000
3 I 0.000 0.500 0.500
4 I 0.500 0.000 0.500
5 F 0.500 0.500 0.500

---

(2)
Below is a relaxed SrVO3 crystal, with properties calculated at the PBE with a Hubbard U level.

## Properties
For the magnetization, the calculation gives 2.00 μB/cell.

Lattice parameters (Å, degrees): 6.162 6.162 6.162 52.10 52.10 52.10
Atoms (fractional coordinates):
1 Sr 0.129 0.129 0.129
2 Sr 0.871 0.871 0.871
3 V 0.339 0.339 0.339
4 V 0.661 0.661 0.661
5 O 0.063 0.492 0.658
6 O 0.342 0.937 0.508
7 O 0.492 0.658 0.063
8 O 0.508 0.342 0.937
9 O 0.658 0.063 0.492
10 O 0.937 0.508 0.342

---

no.,uncorrected energy (eV/atom),V (Å³/atom)
1,-2.544,22.99
2,-7.191,13.47